DFT (PBE-GGA) results for a relaxed structure of KTaFeN3.

The space group is P2_1/m, No. 11. As for the total energy: -8.23 eV per atom. Its energy relative to the elements, uncorrected is -0.50 eV per atom.

Structure (extended XYZ):
```
12
Lattice="7.401 0.000 0.000 0.000 3.216 0.000 -3.062 0.000 7.763" Properties=species:S:1:pos:R:3 pbc="T T T"
K 0.910 0.804 1.756
K 3.429 2.412 6.007
Ta -0.236 2.412 6.798
Ta 4.575 0.804 0.965
Fe -1.335 0.804 4.702
Fe 5.674 2.412 3.061
N -1.523 0.804 6.594
N -0.482 2.412 4.429
N 3.046 2.412 0.977
N 1.293 0.804 6.786
N 4.822 0.804 3.334
N 5.863 2.412 1.170
```